Record 1
# Nd3SmDy2Tm6 (PBE, optimized geometry)
data_Nd3SmDy2Tm6
_cell_length_a 6.174
_cell_length_b 10.689
_cell_length_c 11.694
_cell_angle_alpha 90.00
_cell_angle_beta 100.10
_cell_angle_gamma 90.00
_symmetry_space_group_name_H-M 'C 1 2/m 1'
_symmetry_Int_Tables_number 12
_symmetry_space_group_name_Hall '-C 2y'
loop_
_atom_site_label
_atom_site_type_symbol
_atom_site_fract_x
_atom_site_fract_y
_atom_site_fract_z
Nd1 Nd 0.000 0.000 0.000
Nd2 Nd 0.000 0.333 0.000
Sm1 Sm 0.000 0.500 0.500
Dy1 Dy 0.000 0.167 0.500
Tm1 Tm 0.249 0.000 0.747
Tm2 Tm 0.250 0.167 0.253
# DFT total energy ... -0.1679 Ha/atom
# Total magnetization ... 0.0 μB per cell
# Formation energy from the elements ... 0.02 eV/atom


Record 2
# NdSm2Dy3Tm6 (PBE, optimized geometry)
data_NdSm2Dy3Tm6
_cell_length_a 6.143
_cell_length_b 10.628
_cell_length_c 11.668
_cell_angle_alpha 90.00
_cell_angle_beta 100.05
_cell_angle_gamma 90.00
_symmetry_space_group_name_H-M 'C 1 2/m 1'
_symmetry_Int_Tables_number 12
_symmetry_space_group_name_Hall '-C 2y'
loop_
_atom_site_label
_atom_site_type_symbol
_atom_site_fract_x
_atom_site_fract_y
_atom_site_fract_z
Nd1 Nd 0.000 0.000 0.000
Sm1 Sm 0.000 0.333 0.000
Dy1 Dy 0.000 0.167 0.500
Dy2 Dy 0.000 0.500 0.500
Tm1 Tm 0.248 0.333 0.747
Tm2 Tm 0.249 0.000 0.747
# DFT total energy ... -0.1672 Ha/atom
# Total magnetization ... 0.0 μB per cell
# Formation energy from the elements ... 0.02 eV/atom


Record 3
# NdSm2Dy4Tm (PBE, optimized geometry)
data_NdSm2Dy4Tm
_cell_length_a 13.632
_cell_length_b 13.276
_cell_length_c 6.815
_cell_angle_alpha 90.00
_cell_angle_beta 120.00
_cell_angle_gamma 90.00
_symmetry_space_group_name_H-M 'C 1 2/c 1'
_symmetry_Int_Tables_number 15
_symmetry_space_group_name_Hall '-C 2yc'
loop_
_atom_site_label
_atom_site_type_symbol
_atom_site_fract_x
_atom_site_fract_y
_atom_site_fract_z
Nd1 Nd 0.250 0.250 0.000
Sm1 Sm 0.000 0.000 0.000
Sm2 Sm 0.250 0.250 0.500
Dy1 Dy 0.000 0.255 0.000
Dy2 Dy 0.246 0.500 0.497
Tm1 Tm 0.000 0.500 0.000
# DFT total energy ... -0.1549 Ha/atom
# Total magnetization ... 10.2 μB per cell
# Formation energy from the elements ... 0.42 eV/atom


Record 4
# Nd2Sm4Dy2Tm (PBE, optimized geometry)
data_Nd2Sm4Dy2Tm
_cell_length_a 18.848
_cell_length_b 3.642
_cell_length_c 9.664
_cell_angle_alpha 90.00
_cell_angle_beta 115.63
_cell_angle_gamma 90.00
_symmetry_space_group_name_H-M 'C 1 2/m 1'
_symmetry_Int_Tables_number 12
_symmetry_space_group_name_Hall '-C 2y'
loop_
_atom_site_label
_atom_site_type_symbol
_atom_site_fract_x
_atom_site_fract_y
_atom_site_fract_z
Nd1 Nd 0.165 0.000 0.498
Sm1 Sm 0.018 0.000 0.833
Sm2 Sm 0.186 0.500 0.834
Dy1 Dy 0.148 0.500 0.165
Tm1 Tm 0.000 0.500 0.500
# DFT total energy ... -0.1716 Ha/atom
# Total magnetization ... 0.0 μB per cell
# Formation energy from the elements ... 0.01 eV/atom


Record 5
# Nd6SmDyTm2 (PBE, optimized geometry)
data_Nd6SmDyTm2
_cell_length_a 9.318
_cell_length_b 15.247
_cell_length_c 9.649
_cell_angle_alpha 90.00
_cell_angle_beta 97.16
_cell_angle_gamma 90.00
_symmetry_space_group_name_H-M 'C 1 2/c 1'
_symmetry_Int_Tables_number 15
_symmetry_space_group_name_Hall '-C 2yc'
loop_
_atom_site_label
_atom_site_type_symbol
_atom_site_fract_x
_atom_site_fract_y
_atom_site_fract_z
Nd1 Nd 0.063 0.176 0.445
Nd2 Nd 0.096 0.390 0.618
Nd3 Nd 0.216 0.224 0.815
Sm1 Sm 0.000 0.030 0.750
Dy1 Dy 0.000 0.411 0.250
Tm1 Tm 0.250 0.048 0.048
# DFT total energy ... -0.1680 Ha/atom
# Total magnetization ... 0.0 μB per cell
# Formation energy from the elements ... 0.11 eV/atom


Record 6
# Nd2SmDy6Tm (PBE, optimized geometry)
data_Nd2SmDy6Tm
_cell_length_a 9.047
_cell_length_b 15.051
_cell_length_c 9.702
_cell_angle_alpha 90.00
_cell_angle_beta 98.73
_cell_angle_gamma 90.00
_symmetry_space_group_name_H-M 'C 1 2/c 1'
_symmetry_Int_Tables_number 15
_symmetry_space_group_name_Hall '-C 2yc'
loop_
_atom_site_label
_atom_site_type_symbol
_atom_site_fract_x
_atom_site_fract_y
_atom_site_fract_z
Nd1 Nd 0.247 0.051 0.043
Sm1 Sm 0.000 0.018 0.750
Dy1 Dy 0.067 0.190 0.443
Dy2 Dy 0.100 0.394 0.619
Dy3 Dy 0.204 0.223 0.813
Tm1 Tm 0.000 0.407 0.250
# DFT total energy ... -0.1660 Ha/atom
# Total magnetization ... 0.0 μB per cell
# Formation energy from the elements ... 0.12 eV/atom


Record 7
# NdSmDy2Tm2 (PBE, optimized geometry)
data_NdSmDy2Tm2
_cell_length_a 6.531
_cell_length_b 17.832
_cell_length_c 3.396
_cell_angle_alpha 90.00
_cell_angle_beta 90.00
_cell_angle_gamma 90.00
_symmetry_space_group_name_H-M 'P n n m'
_symmetry_Int_Tables_number 58
_symmetry_space_group_name_Hall '-P 2 2n'
loop_
_atom_site_label
_atom_site_type_symbol
_atom_site_fract_x
_atom_site_fract_y
_atom_site_fract_z
Nd1 Nd 0.000 0.000 0.000
Sm1 Sm 0.000 0.500 0.000
Dy1 Dy 0.224 0.187 0.000
Tm1 Tm 0.222 0.351 0.500
# DFT total energy ... -0.1590 Ha/atom
# Total magnetization ... 0.0 μB per cell
# Formation energy from the elements ... 0.28 eV/atom


Record 8
# Nd5Sm2DyTm (PBE, optimized geometry)
data_Nd5Sm2DyTm
_cell_length_a 8.597
_cell_length_b 8.597
_cell_length_c 16.805
_cell_angle_alpha 90.00
_cell_angle_beta 90.00
_cell_angle_gamma 90.00
_symmetry_space_group_name_H-M 'I 4/m c m'
_symmetry_Int_Tables_number 140
_symmetry_space_group_name_Hall '-I 4 2c'
loop_
_atom_site_label
_atom_site_type_symbol
_atom_site_fract_x
_atom_site_fract_y
_atom_site_fract_z
Nd1 Nd 0.000 0.000 0.000
Nd2 Nd 0.217 0.283 0.143
Sm1 Sm 0.122 0.378 0.500
Dy1 Dy 0.000 0.000 0.250
Tm1 Tm 0.000 0.500 0.250
# DFT total energy ... -0.1624 Ha/atom
# Total magnetization ... 0.0 μB per cell
# Formation energy from the elements ... 0.29 eV/atom


Record 9
# Nd2SmDyTm2 (PBE, optimized geometry)
data_Nd2SmDyTm2
_cell_length_a 7.041
_cell_length_b 9.801
_cell_length_c 5.656
_cell_angle_alpha 90.00
_cell_angle_beta 90.00
_cell_angle_gamma 90.00
_symmetry_space_group_name_H-M 'P n n m'
_symmetry_Int_Tables_number 58
_symmetry_space_group_name_Hall '-P 2 2n'
loop_
_atom_site_label
_atom_site_type_symbol
_atom_site_fract_x
_atom_site_fract_y
_atom_site_fract_z
Nd1 Nd 0.249 0.167 0.000
Sm1 Sm 0.000 0.500 0.000
Dy1 Dy 0.000 0.000 0.500
Tm1 Tm 0.250 0.334 0.500
# DFT total energy ... -0.1678 Ha/atom
# Total magnetization ... 0.0 μB per cell
# Formation energy from the elements ... 0.07 eV/atom


Record 10
# Nd5SmDy2Tm (PBE, optimized geometry)
data_Nd5SmDy2Tm
_cell_length_a 5.654
_cell_length_b 20.465
_cell_length_c 10.743
_cell_angle_alpha 90.00
_cell_angle_beta 90.00
_cell_angle_gamma 90.00
_symmetry_space_group_name_H-M 'C m c 21'
_symmetry_Int_Tables_number 36
_symmetry_space_group_name_Hall 'C 2c -2'
loop_
_atom_site_label
_atom_site_type_symbol
_atom_site_fract_x
_atom_site_fract_y
_atom_site_fract_z
Nd1 Nd 0.000 0.016 0.000
Nd2 Nd 0.000 0.280 0.291
Nd3 Nd 0.000 0.297 0.685
Nd4 Nd 0.000 0.388 0.004
Nd5 Nd 0.000 0.482 0.725
Sm1 Sm 0.000 0.200 0.990
Dy1 Dy 0.000 0.111 0.719
Dy2 Dy 0.000 0.115 0.293
Tm1 Tm 0.000 0.408 0.443
# DFT total energy ... -0.1672 Ha/atom
# Total magnetization ... 0.0 μB per cell
# Formation energy from the elements ... 0.14 eV/atom


Record 11
# NdSmDyTm (PBE, optimized geometry)
data_NdSmDyTm
_cell_length_a 12.474
_cell_length_b 5.878
_cell_length_c 3.750
_cell_angle_alpha 90.00
_cell_angle_beta 107.17
_cell_angle_gamma 90.00
_symmetry_space_group_name_H-M 'C 1 m 1'
_symmetry_Int_Tables_number 8
_symmetry_space_group_name_Hall 'C -2y'
loop_
_atom_site_label
_atom_site_type_symbol
_atom_site_fract_x
_atom_site_fract_y
_atom_site_fract_z
Nd1 Nd 0.000 0.000 0.000
Sm1 Sm 0.267 0.000 0.800
Dy1 Dy 0.019 0.500 0.528
Tm1 Tm 0.256 0.500 0.276
# DFT total energy ... -0.1664 Ha/atom
# Total magnetization ... 0.0 μB per cell
# Formation energy from the elements ... 0.11 eV/atom


Record 12
# Nd4Sm2Dy2Tm (PBE, optimized geometry)
data_Nd4Sm2Dy2Tm
_cell_length_a 15.375
_cell_length_b 5.124
_cell_length_c 8.067
_cell_angle_alpha 90.00
_cell_angle_beta 108.58
_cell_angle_gamma 90.00
_symmetry_space_group_name_H-M 'C 1 2/m 1'
_symmetry_Int_Tables_number 12
_symmetry_space_group_name_Hall '-C 2y'
loop_
_atom_site_label
_atom_site_type_symbol
_atom_site_fract_x
_atom_site_fract_y
_atom_site_fract_z
Nd1 Nd 0.055 0.000 0.331
Nd2 Nd 0.222 0.500 0.331
Sm1 Sm 0.112 0.500 0.670
Dy1 Dy 0.166 0.000 0.000
Tm1 Tm 0.000 0.500 0.000
# DFT total energy ... -0.1715 Ha/atom
# Total magnetization ... 0.0 μB per cell
# Formation energy from the elements ... 0.02 eV/atom


Record 13
# NdSm5Dy2Tm (PBE, optimized geometry)
data_NdSm5Dy2Tm
_cell_length_a 5.634
_cell_length_b 20.246
_cell_length_c 10.707
_cell_angle_alpha 90.00
_cell_angle_beta 90.00
_cell_angle_gamma 90.00
_symmetry_space_group_name_H-M 'C m c 21'
_symmetry_Int_Tables_number 36
_symmetry_space_group_name_Hall 'C 2c -2'
loop_
_atom_site_label
_atom_site_type_symbol
_atom_site_fract_x
_atom_site_fract_y
_atom_site_fract_z
Nd1 Nd 0.000 0.202 0.000
Sm1 Sm 0.000 0.017 0.013
Sm2 Sm 0.000 0.282 0.298
Sm3 Sm 0.000 0.298 0.695
Sm4 Sm 0.000 0.392 0.015
Sm5 Sm 0.000 0.480 0.732
Dy1 Dy 0.000 0.110 0.728
Dy2 Dy 0.000 0.116 0.308
Tm1 Tm 0.000 0.411 0.449
# DFT total energy ... -0.1663 Ha/atom
# Total magnetization ... 0.0 μB per cell
# Formation energy from the elements ... 0.15 eV/atom


Record 14
# Nd2SmDy4Tm2 (PBE, optimized geometry)
data_Nd2SmDy4Tm2
_cell_length_a 6.012
_cell_length_b 6.622
_cell_length_c 8.601
_cell_angle_alpha 80.00
_cell_angle_beta 70.44
_cell_angle_gamma 64.95
_symmetry_space_group_name_H-M 'P -1'
_symmetry_Int_Tables_number 2
_symmetry_space_group_name_Hall '-P 1'
loop_
_atom_site_label
_atom_site_type_symbol
_atom_site_fract_x
_atom_site_fract_y
_atom_site_fract_z
Nd1 Nd 0.232 0.326 0.343
Sm1 Sm 0.500 0.000 0.000
Dy1 Dy 0.120 0.129 0.759
Dy2 Dy 0.237 0.579 0.884
Tm1 Tm 0.320 0.770 0.446
# DFT total energy ... -0.1669 Ha/atom
# Total magnetization ... 0.0 μB per cell
# Formation energy from the elements ... 0.08 eV/atom


Record 15
# NdSm3DyTm (PBE, optimized geometry)
data_NdSm3DyTm
_cell_length_a 5.804
_cell_length_b 11.662
_cell_length_c 11.730
_cell_angle_alpha 90.00
_cell_angle_beta 90.00
_cell_angle_gamma 90.00
_symmetry_space_group_name_H-M 'C m c m'
_symmetry_Int_Tables_number 63
_symmetry_space_group_name_Hall '-C 2c 2'
loop_
_atom_site_label
_atom_site_type_symbol
_atom_site_fract_x
_atom_site_fract_y
_atom_site_fract_z
Nd1 Nd 0.000 0.028 0.250
Sm1 Sm 0.000 0.174 0.535
Sm2 Sm 0.000 0.369 0.750
Dy1 Dy 0.000 0.500 0.000
Tm1 Tm 0.000 0.328 0.250
# DFT total energy ... -0.1671 Ha/atom
# Total magnetization ... 0.0 μB per cell
# Formation energy from the elements ... 0.12 eV/atom


Record 16
# NdSm2Dy6Tm (PBE, optimized geometry)
data_NdSm2Dy6Tm
_cell_length_a 9.059
_cell_length_b 15.048
_cell_length_c 9.642
_cell_angle_alpha 90.00
_cell_angle_beta 98.11
_cell_angle_gamma 90.00
_symmetry_space_group_name_H-M 'C 1 2/c 1'
_symmetry_Int_Tables_number 15
_symmetry_space_group_name_Hall '-C 2yc'
loop_
_atom_site_label
_atom_site_type_symbol
_atom_site_fract_x
_atom_site_fract_y
_atom_site_fract_z
Nd1 Nd 0.000 0.021 0.250
Sm1 Sm 0.249 0.051 0.544
Dy1 Dy 0.066 0.190 0.943
Dy2 Dy 0.100 0.393 0.119
Dy3 Dy 0.206 0.224 0.314
Tm1 Tm 0.000 0.408 0.750
# DFT total energy ... -0.1658 Ha/atom
# Total magnetization ... 0.0 μB per cell
# Formation energy from the elements ... 0.12 eV/atom


Record 17
# Nd2SmDyTm4 (PBE, optimized geometry)
data_Nd2SmDyTm4
_cell_length_a 13.602
_cell_length_b 13.237
_cell_length_c 6.784
_cell_angle_alpha 90.00
_cell_angle_beta 119.91
_cell_angle_gamma 90.00
_symmetry_space_group_name_H-M 'C 1 2/c 1'
_symmetry_Int_Tables_number 15
_symmetry_space_group_name_Hall '-C 2yc'
loop_
_atom_site_label
_atom_site_type_symbol
_atom_site_fract_x
_atom_site_fract_y
_atom_site_fract_z
Nd1 Nd 0.000 0.000 0.000
Nd2 Nd 0.250 0.250 0.000
Sm1 Sm 0.250 0.250 0.500
Dy1 Dy 0.000 0.500 0.000
Tm1 Tm 0.000 0.253 0.000
Tm2 Tm 0.247 0.500 0.498
# DFT total energy ... -0.1532 Ha/atom
# Total magnetization ... 8.4 μB per cell
# Formation energy from the elements ... 0.42 eV/atom


Record 18
# NdSm2DyTm (PBE, optimized geometry)
data_NdSm2DyTm
_cell_length_a 8.345
_cell_length_b 6.587
_cell_length_c 6.188
_cell_angle_alpha 90.00
_cell_angle_beta 92.67
_cell_angle_gamma 90.00
_symmetry_space_group_name_H-M 'P 1 2/c 1'
_symmetry_Int_Tables_number 13
_symmetry_space_group_name_Hall '-P 2yc'
loop_
_atom_site_label
_atom_site_type_symbol
_atom_site_fract_x
_atom_site_fract_y
_atom_site_fract_z
Nd1 Nd 0.000 0.000 0.000
Sm1 Sm 0.309 0.309 0.235
Dy1 Dy 0.000 0.430 0.750
Tm1 Tm 0.500 0.161 0.750
# DFT total energy ... -0.1606 Ha/atom
# Total magnetization ... 0.0 μB per cell
# Formation energy from the elements ... 0.29 eV/atom


Record 19
# NdSm2Dy2Tm (PBE, optimized geometry)
data_NdSm2Dy2Tm
_cell_length_a 6.104
_cell_length_b 18.343
_cell_length_c 3.551
_cell_angle_alpha 90.00
_cell_angle_beta 90.00
_cell_angle_gamma 90.00
_symmetry_space_group_name_H-M 'P n n m'
_symmetry_Int_Tables_number 58
_symmetry_space_group_name_Hall '-P 2 2n'
loop_
_atom_site_label
_atom_site_type_symbol
_atom_site_fract_x
_atom_site_fract_y
_atom_site_fract_z
Nd1 Nd 0.000 0.000 0.000
Sm1 Sm 0.164 0.344 0.500
Dy1 Dy 0.164 0.157 0.500
Tm1 Tm 0.000 0.500 0.000
# DFT total energy ... -0.1670 Ha/atom
# Total magnetization ... 0.0 μB per cell
# Formation energy from the elements ... 0.10 eV/atom